FeSiIO2: relaxed, PBE with a Hubbard U.

Cell lengths 3.9590, 3.9590, 5.6516 Å; angles 90.00, 90.00, 90.00 degrees
Last column: nearest neighbours and their distance in Å.
Space group P4/mmm (No. 123)
Symmetry-distinct sites (fractional):
Fe  0.0000  0.0000  0.0000 [1 per cell]  4 O 1.98
Si  0.5000  0.5000  0.5000 [1 per cell]  4 I 2.80
I  0.0000  0.0000  0.5000 [1 per cell]  4 Si 2.80, 2 Fe 2.83
O  0.0000  0.5000  0.0000 [2 per cell]  2 Fe 1.98

Summary:
Total magnetic moment: 0.976 μB/atom
Energy relative to the lowest polymorph listed for this composition: 511 meV/atom
Fermi-level density of states: 0.4754 states/eV/atom